[1]
Entry from the Alexandria database: a relaxed FeCoTc2 crystal (PBE).

Lattice parameters (Å, degrees): 4.2236 4.2236 4.2236 60.00 60.00 60.00
Element x y z (fractional)
Fe (0.0000, 0.0000, 0.0000)
Co (0.2500, 0.2500, 0.2500)
Tc (0.5000, 0.5000, 0.5000)
Tc (0.7500, 0.7500, 0.7500)

## Properties
* distance to the lowest polymorph of the same formula: 0.165 eV per atom
* E: -8.87 eV per atom
* total moment: 5.04 Bohr magnetons per cell

***

[2]
Entry from the Alexandria database: a relaxed Fe2CoTc crystal (PBE).

Lattice parameters (Å, degrees): 8.4048 8.4048 8.4048 17.86 17.86 17.86
Element x y z (fractional)
Fe (0.0000, 0.0000, 0.0000)
Fe (0.2515, 0.2515, 0.2515)
Co (0.5056, 0.5056, 0.5056)
Tc (0.7507, 0.7507, 0.7507)

## Properties
* distance to the lowest polymorph of the same formula: 0.095 eV per atom
* E: -8.44 eV per atom
* total moment: 5.09 Bohr magnetons per cell

***

[3]
Entry from the Alexandria database: a relaxed FeCoTc2 crystal (PBE).

Lattice parameters (Å, degrees): 4.5232 4.5232 4.5232 131.43 131.43 71.13
Element x y z (fractional)
Fe (0.0000, 0.0000, 0.0000)
Co (0.7500, 0.2500, 0.5000)
Tc (0.2500, 0.7500, 0.5000)
Tc (0.5000, 0.5000, 0.0000)

## Properties
* distance to the lowest polymorph of the same formula: 0.029 eV per atom
* E: -9.00 eV per atom
* total moment: 1.10 Bohr magnetons per cell

***

[4]
Entry from the Alexandria database: a relaxed FeCoTc crystal (PBE).

Lattice parameters (Å, degrees): 4.0662 4.0662 2.5344 90.00 90.00 120.00
Element x y z (fractional)
Fe (0.0000, 0.0000, 0.0000)
Co (0.3333, 0.6667, 0.0000)
Tc (0.6667, 0.3333, 0.5000)

## Properties
* distance to the lowest polymorph of the same formula: 0.000 eV per atom
* E: -8.59 eV per atom
* total moment: 2.60 Bohr magnetons per cell

***

[5]
Entry from the Alexandria database: a relaxed Fe2CoTc crystal (PBE).

Lattice parameters (Å, degrees): 8.4427 8.4427 8.4427 17.76 17.76 17.76
Element x y z (fractional)
Fe (0.2466, 0.2466, 0.2466)
Fe (0.7534, 0.7534, 0.7534)
Co (0.5000, 0.5000, 0.5000)
Tc (0.0000, 0.0000, 0.0000)

## Properties
* distance to the lowest polymorph of the same formula: 0.089 eV per atom
* E: -8.45 eV per atom
* total moment: 5.24 Bohr magnetons per cell

***

[6]
Entry from the Alexandria database: a relaxed Fe2CoTc crystal (PBE).

Lattice parameters (Å, degrees): 4.4417 4.4417 4.4417 132.33 132.33 69.71
Element x y z (fractional)
Fe (0.2500, 0.7500, 0.5000)
Fe (0.7500, 0.2500, 0.5000)
Co (0.0000, 0.0000, 0.0000)
Tc (0.5000, 0.5000, 0.0000)

## Properties
* distance to the lowest polymorph of the same formula: 0.031 eV per atom
* E: -8.51 eV per atom
* total moment: 3.54 Bohr magnetons per cell

***

[7]
Entry from the Alexandria database: a relaxed FeCoTc2 crystal (PBE).

Lattice parameters (Å, degrees): 2.5957 4.0305 4.9671 90.00 104.99 90.00
Element x y z (fractional)
Fe (0.0000, 0.0000, 0.0000)
Co (0.8724, 0.5000, 0.7402)
Tc (0.2713, 0.0000, 0.5368)
Tc (0.6015, 0.5000, 0.2033)

## Properties
* distance to the lowest polymorph of the same formula: 0.000 eV per atom
* E: -9.03 eV per atom
* total moment: 1.22 Bohr magnetons per cell

***

[8]
Entry from the Alexandria database: a relaxed Fe3CoTc crystal (PBE).

Lattice parameters (Å, degrees): 4.0769 4.0769 4.0769 90.00 90.00 90.00
Element x y z (fractional)
Fe (0.0000, 0.0000, 0.5000)
Fe (0.0000, 0.5000, 0.0000)
Fe (0.5000, 0.0000, 0.0000)
Co (0.0000, 0.0000, 0.0000)
Tc (0.5000, 0.5000, 0.5000)

## Properties
* distance to the lowest polymorph of the same formula: 0.000 eV per atom
* E: -7.02 eV per atom
* total moment: 0.03 Bohr magnetons per cell

***

[9]
Entry from the Alexandria database: a relaxed FeCoTc2 crystal (PBE).

Lattice parameters (Å, degrees): 2.9404 2.9404 6.0270 90.00 90.00 90.00
Element x y z (fractional)
Fe (0.0000, 0.0000, 0.0000)
Co (0.0000, 0.0000, 0.5000)
Tc (0.5000, 0.5000, 0.2467)
Tc (0.5000, 0.5000, 0.7533)

## Properties
* distance to the lowest polymorph of the same formula: 0.163 eV per atom
* E: -8.87 eV per atom
* total moment: 4.73 Bohr magnetons per cell

***

[10]
Entry from the Alexandria database: a relaxed Fe2CoTc crystal (PBE).

Lattice parameters (Å, degrees): 4.4374 4.4374 4.4299 99.99 99.99 33.88
Element x y z (fractional)
Fe (0.2441, 0.2441, 0.2419)
Fe (0.7559, 0.7559, 0.7581)
Co (0.5000, 0.5000, 0.0000)
Tc (0.0000, 0.0000, 0.5000)

## Properties
* distance to the lowest polymorph of the same formula: 0.047 eV per atom
* E: -8.49 eV per atom
* total moment: 4.81 Bohr magnetons per cell

***

[11]
Entry from the Alexandria database: a relaxed Fe2CoTc crystal (PBE).

Lattice parameters (Å, degrees): 4.0304 4.0304 4.0304 60.00 60.00 60.00
Element x y z (fractional)
Fe (0.2500, 0.2500, 0.2500)
Fe (0.7500, 0.7500, 0.7500)
Co (0.0000, 0.0000, 0.0000)
Tc (0.5000, 0.5000, 0.5000)

## Properties
* distance to the lowest polymorph of the same formula: 0.286 eV per atom
* E: -8.25 eV per atom
* total moment: 0.00 Bohr magnetons per cell

***

[12]
Entry from the Alexandria database: a relaxed FeCoTc2 crystal (PBE).

Lattice parameters (Å, degrees): 4.8604 4.8604 4.8604 143.54 129.29 64.06
Element x y z (fractional)
Fe (0.0000, 0.0000, 0.0000)
Co (0.7717, 0.2717, 0.5000)
Tc (0.2488, 0.7488, 0.5000)
Tc (0.5106, 0.5106, 0.0000)

## Properties
* distance to the lowest polymorph of the same formula: 0.095 eV per atom
* E: -8.94 eV per atom
* total moment: 4.51 Bohr magnetons per cell

***

[13]
Entry from the Alexandria database: a relaxed Fe2CoTc crystal (PBE).

Lattice parameters (Å, degrees): 3.5763 3.5763 3.5745 90.00 90.00 90.00
Element x y z (fractional)
Fe (0.0000, 0.5000, 0.0000)
Fe (0.5000, 0.0000, 0.0000)
Co (0.0000, 0.0000, 0.5000)
Tc (0.5000, 0.5000, 0.5000)

## Properties
* distance to the lowest polymorph of the same formula: 0.042 eV per atom
* E: -8.50 eV per atom
* total moment: 0.77 Bohr magnetons per cell

***

[14]
Entry from the Alexandria database: a relaxed FeCoTc2 crystal (PBE).

Lattice parameters (Å, degrees): 4.5214 4.5214 4.5695 98.87 98.87 33.61
Element x y z (fractional)
Fe (0.0000, 0.0000, 0.0000)
Co (0.7462, 0.7462, 0.2364)
Tc (0.2513, 0.2513, 0.7530)
Tc (0.4896, 0.4896, 0.4749)

## Properties
* distance to the lowest polymorph of the same formula: 0.053 eV per atom
* E: -8.98 eV per atom
* total moment: 2.13 Bohr magnetons per cell

***

[15]
Entry from the Alexandria database: a relaxed Fe2CoTc crystal (PBE).

Lattice parameters (Å, degrees): 4.4493 4.4493 4.4345 99.53 99.53 33.76
Element x y z (fractional)
Fe (0.0000, 0.0000, 0.0000)
Fe (0.2488, 0.2488, 0.7538)
Co (0.7430, 0.7430, 0.2463)
Tc (0.4914, 0.4914, 0.4910)

## Properties
* distance to the lowest polymorph of the same formula: 0.054 eV per atom
* E: -8.48 eV per atom
* total moment: 4.81 Bohr magnetons per cell

***

[16]
Entry from the Alexandria database: a relaxed FeCoTc2 crystal (PBE).

Lattice parameters (Å, degrees): 4.4982 4.4982 4.4982 131.39 131.39 71.20
Element x y z (fractional)
Fe (0.0000, 0.0000, 0.0000)
Co (0.5000, 0.5000, 0.0000)
Tc (0.2500, 0.7500, 0.5000)
Tc (0.7500, 0.2500, 0.5000)

## Properties
* distance to the lowest polymorph of the same formula: 0.031 eV per atom
* E: -9.00 eV per atom
* total moment: 0.55 Bohr magnetons per cell

***

[17]
Entry from the Alexandria database: a relaxed FeCoTc crystal (PBE).

Lattice parameters (Å, degrees): 4.9516 4.9516 4.0614 90.00 90.00 131.84
Element x y z (fractional)
Fe (0.0762, 0.9238, 0.7500)
Fe (0.9238, 0.0762, 0.2500)
Co (0.4312, 0.5688, 0.7500)
Co (0.5688, 0.4312, 0.2500)
Tc (0.2502, 0.7498, 0.2500)
Tc (0.7498, 0.2502, 0.7500)

## Properties
* distance to the lowest polymorph of the same formula: 0.089 eV per atom
* E: -8.50 eV per atom
* total moment: 7.52 Bohr magnetons per cell

***

[18]
Entry from the Alexandria database: a relaxed TiFe2CoTc crystal (PBE).

Lattice parameters (Å, degrees): 4.4524 4.4524 4.5402 90.00 90.00 90.00
Element x y z (fractional)
Ti (0.0000, 0.0000, 0.0000)
Fe (0.0000, 0.5000, 0.5000)
Fe (0.5000, 0.0000, 0.5000)
Co (0.5000, 0.5000, 0.0000)
Tc (0.0000, 0.0000, 0.5000)

## Properties
* E: -7.09 eV per atom
* total moment: 5.73 Bohr magnetons per cell

***

[19]
Entry from the Alexandria database: a relaxed Fe5Co2Tc2W crystal (PBE).

Lattice parameters (Å, degrees): 8.0933 8.0933 3.7971 90.00 90.00 90.00
Element x y z (fractional)
Fe (0.0000, 0.5000, 0.0000)
Fe (0.0646, 0.2046, 0.0000)
Fe (0.2046, 0.9354, 0.0000)
Fe (0.2954, 0.4354, 0.0000)
Fe (0.4354, 0.7046, 0.0000)
Fe (0.5000, 0.0000, 0.0000)
Fe (0.5646, 0.2954, 0.0000)
Fe (0.7046, 0.5646, 0.0000)
Fe (0.7954, 0.0646, 0.0000)
Fe (0.9354, 0.7954, 0.0000)
Co (0.1250, 0.3750, 0.5000)
Co (0.3750, 0.8750, 0.5000)
Co (0.6250, 0.1250, 0.5000)
Co (0.8750, 0.6250, 0.5000)
Tc (0.1716, 0.6716, 0.5000)
Tc (0.3284, 0.1716, 0.5000)
Tc (0.6716, 0.8284, 0.5000)
Tc (0.8284, 0.3284, 0.5000)
W (0.0000, 0.0000, 0.5000)
W (0.5000, 0.5000, 0.5000)

## Properties
* E: -8.81 eV per atom
* total moment: 15.19 Bohr magnetons per cell

***

[20]
Entry from the Alexandria database: a relaxed FeCo2TcW crystal (PBE).

Lattice parameters (Å, degrees): 4.2953 4.2953 4.3083 90.00 90.00 90.00
Element x y z (fractional)
Fe (0.0000, 0.0000, 0.0000)
Co (0.0000, 0.5000, 0.5000)
Co (0.5000, 0.0000, 0.5000)
Tc (0.0000, 0.0000, 0.5000)
W (0.5000, 0.5000, 0.0000)

## Properties
* E: -7.44 eV per atom
* total moment: 3.39 Bohr magnetons per cell

***

[21]
Entry from the Alexandria database: a relaxed FeCo2Te crystal (PBE).

Lattice parameters (Å, degrees): 3.0746 3.2904 5.5547 90.00 90.00 90.00
Element x y z (fractional)
Fe (0.0000, 0.0000, 0.0000)
Co (0.5000, 0.5000, 0.2251)
Co (0.5000, 0.5000, 0.7749)
Te (0.0000, 0.0000, 0.5000)

## Properties
* E: -6.16 eV per atom
* total moment: 5.13 Bohr magnetons per cell
* raw formation energy: 294.3 meV/atom

***

[22]
Entry from the Alexandria database: a relaxed FeCo2Te crystal (PBE).

Lattice parameters (Å, degrees): 4.4673 4.4673 4.4673 128.04 128.04 76.56
Element x y z (fractional)
Fe (0.0000, 0.0000, 0.0000)
Co (0.2500, 0.7500, 0.5000)
Co (0.7500, 0.2500, 0.5000)
Te (0.5000, 0.5000, 0.0000)

## Properties
* E: -6.23 eV per atom
* total moment: 5.00 Bohr magnetons per cell
* raw formation energy: 223.9 meV/atom

***

[23]
Entry from the Alexandria database: a relaxed Fe2CoTe crystal (PBE).

Lattice parameters (Å, degrees): 3.6948 3.6948 4.1018 90.00 90.00 90.00
Element x y z (fractional)
Fe (0.0000, 0.5000, 0.0000)
Fe (0.5000, 0.0000, 0.0000)
Co (0.0000, 0.0000, 0.5000)
Te (0.5000, 0.5000, 0.5000)

## Properties
* E: -6.56 eV per atom
* total moment: 6.41 Bohr magnetons per cell
* raw formation energy: 236.5 meV/atom

***

[24]
Entry from the Alexandria database: a relaxed FeCo2Te crystal (PBE).

Lattice parameters (Å, degrees): 4.2245 4.2245 4.2245 60.00 60.00 60.00
Element x y z (fractional)
Fe (0.0000, 0.0000, 0.0000)
Co (0.5000, 0.5000, 0.5000)
Co (0.7500, 0.7500, 0.7500)
Te (0.2500, 0.2500, 0.2500)

## Properties
* E: -6.17 eV per atom
* total moment: 4.53 Bohr magnetons per cell
* raw formation energy: 283.4 meV/atom

***

[25]
Entry from the Alexandria database: a relaxed FeCo4Te crystal (PBE).

Lattice parameters (Å, degrees): 4.8198 4.8198 4.8198 60.00 60.00 60.00
Element x y z (fractional)
Fe (0.0000, 0.0000, 0.0000)
Co (0.3744, 0.3744, 0.3744)
Co (0.3744, 0.3744, 0.8768)
Co (0.3744, 0.8768, 0.3744)
Co (0.8768, 0.3744, 0.3744)
Te (0.7500, 0.7500, 0.7500)

## Properties
* E: -6.37 eV per atom
* total moment: 9.54 Bohr magnetons per cell
* raw formation energy: 303.6 meV/atom

***

[26]
Entry from the Alexandria database: a relaxed Fe2CoTe crystal (PBE).

Lattice parameters (Å, degrees): 9.4337 9.4337 9.4337 157.70 157.70 31.74
Element x y z (fractional)
Fe (0.1099, 0.6250, 0.9849)
Fe (0.3750, 0.3599, 0.4849)
Fe (0.6401, 0.1250, 0.0151)
Fe (0.8750, 0.8901, 0.5151)
Co (0.0000, 0.0000, 0.0000)
Co (0.7500, 0.2500, 0.5000)
Te (0.2500, 0.7500, 0.5000)
Te (0.5000, 0.5000, 0.0000)

## Properties
* E: -6.32 eV per atom
* total moment: 11.99 Bohr magnetons per cell
* raw formation energy: 468.6 meV/atom

***

[27]
Entry from the Alexandria database: a relaxed FeCoTe2 crystal (PBE).

Lattice parameters (Å, degrees): 7.1366 7.1366 7.1366 29.35 29.35 29.35
Element x y z (fractional)
Fe (0.0000, 0.0000, 0.0000)
Co (0.5000, 0.5000, 0.5000)
Te (0.2464, 0.2464, 0.2464)
Te (0.7536, 0.7536, 0.7536)

## Properties
* E: -5.24 eV per atom
* total moment: 1.35 Bohr magnetons per cell
* raw formation energy: 224.7 meV/atom

***

[28]
Entry from the Alexandria database: a relaxed FeCo2Te crystal (PBE).

Lattice parameters (Å, degrees): 2.8971 4.0049 5.4417 90.00 101.08 90.00
Element x y z (fractional)
Fe (0.0000, 0.0000, 0.0000)
Co (0.3832, 0.5000, 0.1908)
Co (0.6168, 0.5000, 0.8092)
Te (0.5000, 0.0000, 0.5000)

## Properties
* E: -6.05 eV per atom
* total moment: 5.95 Bohr magnetons per cell
* raw formation energy: 399.8 meV/atom

***

[29]
Entry from the Alexandria database: a relaxed FeCoTe4 crystal (PBE).

Lattice parameters (Å, degrees): 5.7154 3.7315 6.6024 90.00 90.70 90.00
Element x y z (fractional)
Fe (0.0000, 0.0000, 0.0000)
Co (0.0000, 0.5000, 0.5000)
Te (0.2358, 0.0000, 0.3354)
Te (0.2434, 0.5000, 0.8286)
Te (0.7566, 0.5000, 0.1714)
Te (0.7642, 0.0000, 0.6646)

## Properties
* distance to the lowest polymorph of the same formula: 0.000 eV per atom
* E: -4.82 eV per atom
* total moment: 1.27 Bohr magnetons per cell
* raw formation energy: -126.0 meV/atom